[1]
First-principles (GGA-PBE) data for a geometry-optimized ScSi5 structure, as listed in Alexandria via LeMat-Bulk.

crystal system: cubic
space-group type: F-43m (216)
uncorrected formation energy: 62 meV per atom

POSCAR file:
```
ScSi5
1.0
5.0341 -0.1014 0.3311
2.3263 -4.0867 1.8303
2.6716 -2.9736 -3.0793
Si Sc
5 1
direct
0.2500 0.2500 0.2500 Si
0.6247 0.6247 0.1259 Si
0.1259 0.6247 0.6247 Si
0.6247 0.1259 0.6247 Si
0.6247 0.6247 0.6247 Si
0.0000 0.0000 0.0000 Sc
```

=====

[2]
First-principles (GGA-PBE) data for a geometry-optimized PmGaRh structure, as listed in Alexandria via LeMat-Bulk.

crystal system: tetragonal
space-group type: I4mm (107)
E_form: -609 meV per atom

POSCAR file:
```
PmGaRh
1.0
-3.1935 0.4665 -0.8529
-0.3636 -3.2893 -0.4377
0.3361 0.8901 5.7611
Pm Ga Rh
1 1 1
direct
0.0063 0.0063 0.0126 Pm
0.2998 0.2998 0.5995 Ga
0.6940 0.6940 0.3879 Rh
```

=====

[3]
First-principles (GGA-PBE) data for a geometry-optimized La6ThTl structure, as listed in Alexandria via LeMat-Bulk.

crystal system: tetragonal
space-group type: P4/mmm (123)
E_form: -99 meV per atom

POSCAR file:
```
La6ThTl
1.0
-1.2426 -4.8898 -0.8940
-0.1983 -0.8720 5.0452
-9.9701 2.5254 0.0446
La Th Tl
6 1 1
direct
0.0000 0.5000 0.7492 La
0.0000 0.5000 0.2508 La
0.5000 0.0000 0.7492 La
0.5000 0.5000 0.5000 La
0.5000 0.0000 0.2508 La
0.5000 0.5000 0.0000 La
0.0000 0.0000 0.5000 Th
0.0000 0.0000 0.0000 Tl
```

=====

[4]
First-principles (GGA-PBE) data for a geometry-optimized SrTl2Re structure, as listed in Alexandria via LeMat-Bulk.

crystal system: trigonal
space-group type: R3m (160)
E_form: 844 meV per atom

POSCAR file:
```
SrTl2Re
1.0
10.5769 -0.0174 -0.0102
10.0433 3.3171 -0.0102
10.0433 1.6071 2.9018
Tl Sr Re
2 1 1
direct
0.9952 0.9952 0.9952 Tl
0.2405 0.2405 0.2405 Tl
0.7606 0.7606 0.7606 Sr
0.5037 0.5037 0.5037 Re
```

=====

[5]
First-principles (GGA-PBE) data for a geometry-optimized NbVCo3 structure, as listed in Alexandria via LeMat-Bulk.

crystal system: tetragonal
space-group type: I4mm (107)
E_form: 111 meV per atom

POSCAR file:
```
NbVCo3
1.0
3.6372 0.0000 0.0000
0.0000 3.6372 0.0000
-1.8186 -1.8186 4.9775
Co V Nb
3 1 1
direct
0.7689 0.2689 0.5379 Co
0.2689 0.7689 0.5379 Co
0.4199 0.4199 0.8398 Co
0.6335 0.6335 0.2670 V
0.9990 0.9990 0.9979 Nb
```

=====

[6]
First-principles (GGA-PBE) data for a geometry-optimized YScPd14 structure, as listed in Alexandria via LeMat-Bulk.

crystal system: tetragonal
space-group type: P4/mmm (123)
E_form: -404 meV per atom

POSCAR file:
```
YScPd14
1.0
-4.7008 2.4924 -2.0280
-2.8938 -4.8461 0.7509
-1.9592 2.3142 7.3854
Pd Y Sc
14 1 1
direct
0.8750 0.3750 0.0000 Pd
0.6217 0.6217 0.2455 Pd
0.6217 0.6217 0.7545 Pd
0.1283 0.1283 0.7545 Pd
0.6217 0.1283 0.7545 Pd
0.3750 0.8750 0.0000 Pd
0.3750 0.3750 0.0000 Pd
0.1283 0.1283 0.2455 Pd
0.1283 0.6217 0.7545 Pd
0.3750 0.8750 0.5000 Pd
0.8750 0.3750 0.5000 Pd
0.1283 0.6217 0.2455 Pd
0.6217 0.1283 0.2455 Pd
0.8750 0.8750 0.0000 Pd
0.8750 0.8750 0.5000 Y
0.3750 0.3750 0.5000 Sc
```

=====

[7]
First-principles (GGA-PBE) data for a geometry-optimized CrReSb3 structure, as listed in Alexandria via LeMat-Bulk.

crystal system: cubic
space-group type: Pm-3m (221)
uncorrected formation energy: 1510 meV per atom

POSCAR file:
```
CrReSb3
1.0
5.1633 0.0000 0.0000
0.0000 5.1633 0.0000
0.0000 0.0000 5.1633
Cr Sb Re
1 3 1
direct
0.5000 0.5000 0.5000 Cr
0.0000 0.5000 0.0000 Sb
0.5000 0.0000 0.0000 Sb
0.0000 0.0000 0.5000 Sb
0.0000 0.0000 0.0000 Re
```

=====

[8]
First-principles (GGA-PBE) data for a geometry-optimized LiTiRhO4 structure, as listed in Alexandria via LeMat-Bulk.

crystal system: orthorhombic
space-group type: Imma (74)
uncorrected formation energy: -2021 meV per atom

POSCAR file:
```
LiTiRhO4
1.0
-1.7436 4.3918 -3.6483
3.5834 -2.3642 -4.1483
-4.2701 -3.3372 2.5035
O Li Rh Ti
8 2 2 2
direct
0.2153 0.2512 0.9641 O
0.7600 0.7810 0.5210 O
0.7600 0.2391 0.9790 O
0.2129 0.7488 0.4641 O
0.2400 0.7609 0.0210 O
0.2400 0.2190 0.4790 O
0.7871 0.2512 0.5359 O
0.7847 0.7488 0.0359 O
0.3814 0.6314 0.7500 Li
0.6186 0.3686 0.2500 Li
0.0000 0.0000 0.0000 Rh
0.5000 0.0000 0.5000 Rh
0.0000 0.5000 0.0000 Ti
0.0000 0.0000 0.5000 Ti
```

=====

[9]
First-principles (GGA-PBE) data for a geometry-optimized BaTl2Au2 structure, as listed in Alexandria via LeMat-Bulk.

crystal system: tetragonal
space-group type: I4/mmm (139)
E_form: -410 meV per atom

POSCAR file:
```
BaTl2Au2
1.0
-2.5688 -3.4057 1.9419
3.1845 -3.1667 -1.3413
3.5247 -2.4643 5.9971
Ba Au Tl
1 2 2
direct
0.0000 0.0000 0.0000 Ba
0.6046 0.6046 0.7908 Au
0.3954 0.3954 0.2092 Au
0.7500 0.2500 0.5000 Tl
0.2500 0.7500 0.5000 Tl
```

=====

[10]
First-principles (GGA-PBE) data for a geometry-optimized ZrCu structure, as listed in Alexandria via LeMat-Bulk.

crystal system: monoclinic
space-group type: Cm (8)
E_form: -46 meV per atom

POSCAR file:
```
ZrCu
1.0
2.8348 -2.6434 4.0873
4.9471 -2.0507 1.7464
2.8627 4.4461 3.7091
Cu Zr
3 3
direct
0.3695 0.3695 0.2310 Cu
0.0236 0.0236 0.9549 Cu
0.3864 0.3864 0.8160 Cu
0.9935 0.9935 0.4608 Zr
0.6984 0.6984 0.0978 Zr
0.6953 0.6953 0.6060 Zr
```

=====

[11]
First-principles (GGA-PBE) data for a geometry-optimized SrHfSbI2 structure, as listed in Alexandria via LeMat-Bulk.

crystal system: tetragonal
space-group type: P4/mmm (123)
uncorrected formation energy: 500 meV per atom

POSCAR file:
```
SrHfSbI2
1.0
5.9680 0.0000 0.0000
0.0000 5.9680 0.0000
0.0000 0.0000 6.5424
Sr I Sb Hf
1 2 1 1
direct
0.0000 0.0000 0.0000 Sr
0.5000 0.0000 0.0000 I
0.0000 0.5000 0.0000 I
0.0000 0.0000 0.5000 Sb
0.5000 0.5000 0.5000 Hf
```

=====

[12]
First-principles (GGA-PBE) data for a geometry-optimized PrPuGaPb structure, as listed in Alexandria via LeMat-Bulk.

crystal system: cubic
space-group type: F-43m (216)
E_form: -271 meV per atom

POSCAR file:
```
PrPuGaPb
1.0
5.3924 0.0000 0.0000
2.6962 4.6699 0.0000
2.6962 1.5566 4.4028
Ga Pr Pu Pb
1 1 1 1
direct
0.2500 0.2500 0.2500 Ga
0.5000 0.5000 0.5000 Pr
0.0000 0.0000 0.0000 Pu
0.7500 0.7500 0.7500 Pb
```

=====

Number 1: calculated total energy -5.513 eV per atom. Number 2: calculated total energy -5.652 eV per atom. Number 3: calculated total energy -5.018 eV per atom. Number 4: calculated total energy -3.871 eV per atom. Number 5: calculated total energy -7.990 eV per atom. Number 6: calculated total energy -5.747 eV per atom. Number 7: calculated total energy -5.378 eV per atom. Number 8: calculated total energy -7.306 eV per atom. Number 9: calculated total energy -3.052 eV per atom. Number 10: calculated total energy -6.368 eV per atom. Number 11: calculated total energy -3.272 eV per atom. Number 12: calculated total energy -6.732 eV per atom.